Density functional theory data (PBE-GGA) for an optimized crystal structure of LiZrOs2.

Values from the calculation:
Theoretical density, g/cm3: 12.5
Formation energy, eV/f.u.: 0.344
Total magnetization, μB/cell: 0.5
Space group: Imm2

Cell lengths 5.3448, 5.3448, 5.3448 Å; angles 146.63, 130.14, 61.33 degrees
Fractional coordinates of all 4 atoms:
1 Li 0.0000 0.0000 0.0000
2 Zr 0.7269 0.2269 0.5000
3 Os 0.2416 0.7416 0.5000
4 Os 0.4692 0.4692 0.0000

***

Density functional theory data (PBE-GGA) for an optimized crystal structure of Pm4GeSe2S.

Values from the calculation:
Theoretical density, g/cm3: 6.7
Formation energy from raw total energies, eV/f.u.: -13.6
Total magnetization, μB/cell: 0.0
Space group: P2/m

Cell lengths 7.1987, 4.1785, 7.3175 Å; angles 90.00, 109.41, 90.00 degrees
Fractional coordinates of all 8 atoms:
1 Pm 0.2450 0.0000 0.2341
2 Pm 0.2538 0.5000 0.7620
3 Pm 0.7462 0.5000 0.2380
4 Pm 0.7550 0.0000 0.7659
5 Ge 0.5000 0.0000 0.0000
6 Se 0.0000 0.0000 0.5000
7 Se 0.5000 0.5000 0.5000
8 S 0.0000 0.5000 0.0000

***

Density functional theory data (PBE-GGA) for an optimized crystal structure of HoIn2BiO6.

Values from the calculation:
Theoretical density, g/cm3: 8.1
Formation energy from raw total energies, eV/f.u.: -19.5
Total magnetization, μB/cell: 0.0
Space group: R3

Cell lengths 5.9945, 5.9945, 5.9945 Å; angles 57.59, 57.59, 57.59 degrees
Fractional coordinates of all 10 atoms:
1 Ho 0.0000 0.0000 0.0000
2 In 0.2842 0.2842 0.2842
3 In 0.7841 0.7841 0.7841
4 Bi 0.5027 0.5027 0.5027
5 O 0.0852 0.6752 0.4061
6 O 0.1524 0.5888 0.9275
7 O 0.4061 0.0852 0.6752
8 O 0.5888 0.9275 0.1524
9 O 0.6752 0.4061 0.0852
10 O 0.9275 0.1524 0.5888

***

Density functional theory data (PBE-GGA) for an optimized crystal structure of NiHCBr2.

Values from the calculation:
Theoretical density, g/cm3: 5.0
E, eV/atom: -2.999
Total magnetization, μB/cell: 1.0
Space group: P4/mmm

Cell lengths 4.8185, 4.8185, 3.3011 Å; angles 90.00, 90.00, 90.00 degrees
Fractional coordinates of all 5 atoms:
1 Ni 0.0000 0.0000 0.0000
2 H 0.0000 0.0000 0.5000
3 C 0.5000 0.5000 0.5000
4 Br 0.0000 0.5000 0.0000
5 Br 0.5000 0.0000 0.0000

***

Density functional theory data (PBE-GGA) for an optimized crystal structure of Th2InNi4As3.

Values from the calculation:
Theoretical density, g/cm3: 9.8
Formation energy, eV/f.u.: -7.302
Total magnetization, μB/cell: 0.0
Space group: P-4m2

Cell lengths 4.1472, 4.1472, 10.2183 Å; angles 90.00, 90.00, 90.00 degrees
Fractional coordinates of all 10 atoms:
1 Th 0.0000 0.5000 0.2325
2 Th 0.5000 0.0000 0.7675
3 In 0.0000 0.0000 0.5000
4 Ni 0.0000 0.0000 0.0000
5 Ni 0.0000 0.5000 0.6498
6 Ni 0.5000 0.0000 0.3502
7 Ni 0.5000 0.5000 0.0000
8 As 0.0000 0.5000 0.8773
9 As 0.5000 0.0000 0.1227
10 As 0.5000 0.5000 0.5000

***

Density functional theory data (PBE-GGA) for an optimized crystal structure of AgSn2Ge2.

Values from the calculation:
Theoretical density, g/cm3: 6.7
Formation energy, eV/f.u.: 1.279
Total magnetization, μB/cell: 0.0
Excess energy over the best structure of this formula in the dataset, eV per atom: 0.0787
Space group: I4/mmm

Cell lengths 5.5966, 5.5966, 5.5966 Å; angles 121.50, 121.50, 87.42 degrees
Fractional coordinates of all 5 atoms:
1 Ag 0.0000 0.0000 0.0000
2 Sn 0.2500 0.7500 0.5000
3 Sn 0.7500 0.2500 0.5000
4 Ge 0.3441 0.3441 0.0000
5 Ge 0.6559 0.6559 0.0000

***

Density functional theory data (PBE-GGA) for an optimized crystal structure of Al27V.

Values from the calculation:
Theoretical density, g/cm3: 2.2
Formation energy, eV/f.u.: 8.176
Total magnetization, μB/cell: 4.6
Space group: Fd-3m

Cell lengths 11.8520, 11.8520, 11.8520 Å; angles 60.00, 60.00, 60.00 degrees
Fractional coordinates of all 56 atoms:
1 Al 0.0000 0.0000 0.0000
2 Al 0.0000 0.0000 0.5000
3 Al 0.0000 0.5000 0.0000
4 Al 0.1190 0.1190 0.5243
5 Al 0.1190 0.1190 0.7377
6 Al 0.1190 0.5243 0.1190
7 Al 0.1190 0.5243 0.7377
8 Al 0.1190 0.7377 0.1190
9 Al 0.1190 0.7377 0.5243
10 Al 0.1250 0.1250 0.1250
11 Al 0.1317 0.3764 0.3764
12 Al 0.1317 0.3764 0.6154
13 Al 0.1317 0.6154 0.3764
14 Al 0.2623 0.4757 0.8810
15 Al 0.2623 0.8810 0.4757
16 Al 0.2623 0.8810 0.8810
17 Al 0.3764 0.1317 0.3764
18 Al 0.3764 0.1317 0.6154
19 Al 0.3764 0.3764 0.1317
20 Al 0.3764 0.3764 0.6154
21 Al 0.3764 0.6154 0.1317
22 Al 0.3764 0.6154 0.3764
23 Al 0.3846 0.6236 0.6236
24 Al 0.3846 0.6236 0.8683
25 Al 0.3846 0.8683 0.6236
26 Al 0.4757 0.2623 0.8810
27 Al 0.4757 0.8810 0.2623
28 Al 0.4757 0.8810 0.8810
29 Al 0.5000 0.0000 0.0000
30 Al 0.5243 0.1190 0.1190
31 Al 0.5243 0.1190 0.7377
32 Al 0.5243 0.7377 0.1190
33 Al 0.6154 0.1317 0.3764
34 Al 0.6154 0.3764 0.1317
35 Al 0.6154 0.3764 0.3764
36 Al 0.6236 0.3846 0.6236
37 Al 0.6236 0.3846 0.8683
38 Al 0.6236 0.6236 0.3846
39 Al 0.6236 0.6236 0.8683
40 Al 0.6236 0.8683 0.3846
41 Al 0.6236 0.8683 0.6236
42 Al 0.7377 0.1190 0.1190
43 Al 0.7377 0.1190 0.5243
44 Al 0.7377 0.5243 0.1190
45 Al 0.8683 0.3846 0.6236
46 Al 0.8683 0.6236 0.3846
47 Al 0.8683 0.6236 0.6236
48 Al 0.8750 0.8750 0.8750
49 Al 0.8810 0.2623 0.4757
50 Al 0.8810 0.2623 0.8810
51 Al 0.8810 0.4757 0.2623
52 Al 0.8810 0.4757 0.8810
53 Al 0.8810 0.8810 0.2623
54 Al 0.8810 0.8810 0.4757
55 V 0.3750 0.3750 0.3750
56 V 0.6250 0.6250 0.6250

***

Density functional theory data (PBE-GGA) for an optimized crystal structure of RbBaAu2.

Values from the calculation:
Theoretical density, g/cm3: 7.1
Formation energy, eV/f.u.: -2.024
Total magnetization, μB/cell: 0.0
Excess energy over the best structure of this formula in the dataset, eV per atom: 0.0000
Space group: P4/mmm

Cell lengths 4.1737, 4.1737, 8.2701 Å; angles 90.00, 90.00, 90.00 degrees
Fractional coordinates of all 4 atoms:
1 Rb 0.0000 0.0000 0.0000
2 Ba 0.0000 0.0000 0.5000
3 Au 0.5000 0.5000 0.2968
4 Au 0.5000 0.5000 0.7032

***

Density functional theory data (PBE-GGA) for an optimized crystal structure of Al2ReOs.

Values from the calculation:
Theoretical density, g/cm3: 12.3
Formation energy, eV/f.u.: -0.237
Total magnetization, μB/cell: 0.0
Excess energy over the best structure of this formula in the dataset, eV per atom: 0.1733
Space group: Pmmm

Cell lengths 2.9968, 4.1460, 4.6755 Å; angles 90.00, 90.00, 90.00 degrees
Fractional coordinates of all 4 atoms:
1 Al 0.0000 0.0000 0.0000
2 Al 0.5000 0.0000 0.5000
3 Re 0.0000 0.5000 0.5000
4 Os 0.5000 0.5000 0.0000

***

Density functional theory data (PBE-GGA) for an optimized crystal structure of Ac6GeSb3S2.

Values from the calculation:
Theoretical density, g/cm3: 7.4
Formation energy from raw total energies, eV/f.u.: -16.7
Total magnetization, μB/cell: 0.0
Space group: C2/m

Cell lengths 10.3266, 10.3266, 9.2308 Å; angles 103.02, 103.02, 25.90 degrees
Fractional coordinates of all 12 atoms:
1 Ac 0.0034 0.0034 0.2405
2 Ac 0.3307 0.3307 0.4262
3 Ac 0.3378 0.3378 0.9124
4 Ac 0.6622 0.6622 0.0876
5 Ac 0.6693 0.6693 0.5738
6 Ac 0.9966 0.9966 0.7595
7 Ge 0.5000 0.5000 0.0000
8 Sb 0.1683 0.1683 0.8293
9 Sb 0.5000 0.5000 0.5000
10 Sb 0.8317 0.8317 0.1707
11 S 0.1692 0.1692 0.3375
12 S 0.8308 0.8308 0.6626

***

Density functional theory data (PBE-GGA) for an optimized crystal structure of SbBrO.

Values from the calculation:
Theoretical density, g/cm3: 5.4
Formation energy from raw total energies, eV/f.u.: -3.0
Total magnetization, μB/cell: 0.0
Excess energy over the best structure of this formula in the dataset, eV per atom: 0.0333
Space group: P4/nmm

Cell lengths 3.8318, 3.8318, 9.1892 Å; angles 90.00, 90.00, 90.00 degrees
Fractional coordinates of all 6 atoms:
1 Sb 0.2500 0.2500 0.1335
2 Sb 0.7500 0.7500 0.8665
3 Br 0.2500 0.2500 0.6931
4 Br 0.7500 0.7500 0.3069
5 O 0.2500 0.7500 0.0000
6 O 0.7500 0.2500 0.0000

***

Density functional theory data (PBE-GGA) for an optimized crystal structure of TbZrNiPt.

Values from the calculation:
Theoretical density, g/cm3: 10.9
Formation energy, eV/f.u.: -2.640
Total magnetization, μB/cell: 0.0
Space group: F-43m

Cell lengths 4.7733, 4.7733, 4.7733 Å; angles 60.00, 60.00, 60.00 degrees
Fractional coordinates of all 4 atoms:
1 Tb 0.0000 0.0000 0.0000
2 Zr 0.5000 0.5000 0.5000
3 Ni 0.7500 0.7500 0.7500
4 Pt 0.2500 0.2500 0.2500

***

Density functional theory data (PBE-GGA) for an optimized crystal structure of SmTlSn.

Values from the calculation:
Theoretical density, g/cm3: 8.8
Formation energy, eV/f.u.: -0.747
Total magnetization, μB/cell: 0.0
Excess energy over the best structure of this formula in the dataset, eV per atom: 0.2149
Space group: I4mm

Cell lengths 5.5636, 5.5636, 5.5636 Å; angles 133.36, 133.36, 68.09 degrees
Fractional coordinates of all 3 atoms:
1 Sm 0.0000 0.0000 0.0000
2 Tl 0.3307 0.3307 0.0000
3 Sn 0.6541 0.6541 0.0000

***

Density functional theory data (PBE-GGA) for an optimized crystal structure of RbCd3As.

Values from the calculation:
Theoretical density, g/cm3: 2.6
Formation energy, eV/f.u.: 4.548
Total magnetization, μB/cell: 2.1
Excess energy over the best structure of this formula in the dataset, eV per atom: 0.7889
Space group: Pm-3m

Cell lengths 6.8075, 6.8075, 6.8075 Å; angles 90.00, 90.00, 90.00 degrees
Fractional coordinates of all 5 atoms:
1 Rb 0.0000 0.0000 0.0000
2 Cd 0.0000 0.0000 0.5000
3 Cd 0.0000 0.5000 0.0000
4 Cd 0.5000 0.0000 0.0000
5 As 0.5000 0.5000 0.5000

***

Density functional theory data (PBE-GGA) for an optimized crystal structure of Pm5PrSm2Dy.

Values from the calculation:
Theoretical density, g/cm3: 7.1
Formation energy, eV/f.u.: 2.474
Total magnetization, μB/cell: 0.0
Space group: I4/mcm

Cell lengths 10.0343, 10.0343, 10.0343 Å; angles 127.17, 127.17, 77.97 degrees
Fractional coordinates of all 18 atoms:
1 Pm 0.0000 0.0000 0.0000
2 Pm 0.0706 0.5706 0.9150
3 Pm 0.1556 0.0706 0.5000
4 Pm 0.3444 0.8444 0.9150
5 Pm 0.4294 0.3444 0.5000
6 Pm 0.5000 0.5000 0.0000
7 Pm 0.5706 0.6556 0.5000
8 Pm 0.6556 0.1556 0.0850
9 Pm 0.8444 0.9294 0.5000
10 Pm 0.9294 0.4294 0.0850
11 Pr 0.2500 0.2500 0.0000
12 Pr 0.7500 0.7500 0.0000
13 Sm 0.1159 0.3841 0.5000
14 Sm 0.3841 0.8841 0.2682
15 Sm 0.6159 0.1159 0.7318
16 Sm 0.8841 0.6159 0.5000
17 Dy 0.2500 0.7500 0.5000
18 Dy 0.7500 0.2500 0.5000